Density functional theory data (PBE) for a geometry-optimized HfMgGe2 structure.

Structure (POSCAR):
```
HfMgGe2
1.0
2.1904 1.2646 4.6394
-2.1904 1.2646 4.6394
0.0000 -2.5293 4.6394
Hf Mg Ge
1 1 2
direct
0.0000 0.0000 0.0000 Hf
0.5000 0.5000 0.5000 Mg
0.2449 0.2449 0.2449 Ge
0.7551 0.7551 0.7551 Ge
```

Calculated values
N(E_F), states/eV/cell: 2.54
Energy of formation from the pure elements, eV/atom: -0.142
Energy, eV/atom: -5.34
Space-group type: R-3m, No. 166